[1]
An optimized crystal structure of CeZnSi2Pd2. Source: Alexandria, functional PBE-GGA.

```
6
Lattice="-4.111 0.436 0.739 1.461 -3.545 -1.713 0.843 -2.686 6.277" Properties=species:S:1:pos:R:3 pbc="T T T"
Si -2.028 -1.609 1.601
Pd -0.106 -3.142 1.263
Pd -1.700 -2.653 4.039
Ce 0.000 0.000 0.000
Si 0.221 -4.185 3.701
Zn 0.422 -1.343 3.138
```

Computed properties:
E_form (uncorrected) = -4.03 eV/f.u.
uncorrected energy = -5.41 eV/atom
space group = No. 164

***

[2]
An optimized crystal structure of CeZnSi2Pd. Source: Alexandria, functional PBE-GGA.

```
5
Lattice="4.126 0.000 0.000 0.000 4.126 0.000 -2.063 -2.063 5.170" Properties=species:S:1:pos:R:3 pbc="T T T"
Zn 0.000 2.063 2.585
Ce 0.000 0.000 0.000
Si 0.000 0.000 3.997
Pd 2.063 0.000 2.585
Si 2.063 2.063 1.173
```

Computed properties:
E_form (uncorrected) = -3.59 eV/f.u.
uncorrected energy = -5.37 eV/atom
space group = No. 119

***

[3]
An optimized crystal structure of Ce2ZnSi3Pd4. Source: Alexandria, functional PBE-GGA.

```
10
Lattice="4.249 0.000 0.000 0.000 4.249 0.000 0.000 0.000 10.037" Properties=species:S:1:pos:R:3 pbc="T T T"
Ce 2.124 0.000 2.528
Zn 2.124 2.124 5.019
Pd 0.000 2.124 3.686
Ce 0.000 2.124 7.510
Pd 2.124 2.124 0.000
Si 2.124 0.000 8.753
Pd 0.000 0.000 0.000
Si 0.000 0.000 5.019
Pd 2.124 0.000 6.352
Si 0.000 2.124 1.285
```

Computed properties:
E_form (uncorrected) = -8.16 eV/f.u.
uncorrected energy = -5.83 eV/atom
space group = No. 115

***

E_form (uncorrected) of number 2 (CeZnSi2Pd)?
-3.59 eV/f.u.

***

Which of these has the highest uncorrected energy?
CeZnSi2Pd

***

Repeat the third record exactly.
An optimized crystal structure of Ce2ZnSi3Pd4. Source: Alexandria, functional PBE-GGA.

```
10
Lattice="4.249 0.000 0.000 0.000 4.249 0.000 0.000 0.000 10.037" Properties=species:S:1:pos:R:3 pbc="T T T"
Ce 2.124 0.000 2.528
Zn 2.124 2.124 5.019
Pd 0.000 2.124 3.686
Ce 0.000 2.124 7.510
Pd 2.124 2.124 0.000
Si 2.124 0.000 8.753
Pd 0.000 0.000 0.000
Si 0.000 0.000 5.019
Pd 2.124 0.000 6.352
Si 0.000 2.124 1.285
```

Computed properties:
E_form (uncorrected) = -8.16 eV/f.u.
uncorrected energy = -5.83 eV/atom
space group = No. 115

***

Look up the uncorrected energy of the second one.
-5.37 eV/atom